The following is a DFT calculation (PBE) of crystalline KMgW2 at its relaxed geometry.

The structure in CIF format:
```
data_KMgW2
_chemical_formula_sum 'K1 Mg1 W2'
_space_group_name_H-M_alt 'P m m 2'
_space_group_IT_number 25
_cell_length_a 2.733
_cell_length_b 4.132
_cell_length_c 8.474
_cell_angle_alpha 90.00
_cell_angle_beta 90.00
_cell_angle_gamma 90.00
loop_
_space_group_symop_operation_xyz
'x,y,z'
'-x,-y,z'
'-x,y,z'
'x,-y,z'
loop_
_atom_site_label
_atom_site_fract_x
_atom_site_fract_y
_atom_site_fract_z
K1 0.000 0.000 0.000
Mg1 0.500 0.500 0.339
W1 0.000 0.000 0.536
W2 0.500 0.500 0.682
```

Computed properties:
Calculated volume: 96 Å³ per cell
Energy relative to the elements: 862 meV per atom
Fermi-level density of states: 2.60 states/eV/cell
Theoretical density: 7.5 g/cm3
Calculated total energy: -0.23107 Ha/atom